# 1
# SCAN Zr5Pt, single point on PBEsol structure
data_Zr5Pt
_chemical_formula_sum 'Zr10 Pt2'
_symmetry_space_group_name_H-M 'C 1 m 1'
_symmetry_Int_Tables_number 8
_cell_length_a 10.783
_cell_length_b 3.226
_cell_length_c 7.637
_cell_angle_alpha 90.00
_cell_angle_beta 108.21
_cell_angle_gamma 90.00
loop_
_symmetry_equiv_pos_as_xyz
'x,y,z'
'x,-y,z'
'x+1/2,y+1/2,z'
'x+1/2,-y+1/2,z'
loop_
_atom_site_label
_atom_site_type_symbol
_atom_site_fract_x
_atom_site_fract_y
_atom_site_fract_z
Zr1 Zr 0.000 0.000 0.000
Zr2 Zr 0.022 0.000 0.412
Zr3 Zr 0.159 0.500 0.771
Zr4 Zr 0.226 0.500 0.284
Zr5 Zr 0.359 0.000 0.643
Pt1 Pt 0.307 0.000 0.048
# Polymorph energy (0 for the lowest one) (eV/f.u.): 0.00
# Final energy (eV/atom): -37.689
# Energy of formation (meV per atom): -407.4

# 2
# SCAN Zr2Pt3, single point on PBEsol structure
data_Zr2Pt3
_chemical_formula_sum 'Zr16 Pt24'
_symmetry_space_group_name_H-M 'F d d 2'
_symmetry_Int_Tables_number 43
_symmetry_space_group_name_Hall 'F 2 -2d'
_cell_length_a 9.082
_cell_length_b 13.119
_cell_length_c 5.937
_cell_angle_alpha 90.00
_cell_angle_beta 90.00
_cell_angle_gamma 90.00
loop_
_atom_site_label
_atom_site_type_symbol
_atom_site_fract_x
_atom_site_fract_y
_atom_site_fract_z
Zr1 Zr 0.071 0.298 0.000
Pt1 Pt 0.000 0.000 0.402
Pt2 Pt 0.050 0.394 0.517
# Final energy (eV/atom): -55.654
# Energy of formation (meV per atom): -1258.3

# 3
# SCAN Zr5Pt3, single point on PBEsol structure
data_Zr5Pt3
_chemical_formula_sum 'Zr10 Pt6'
_symmetry_space_group_name_H-M 'P 63/m c m'
_symmetry_Int_Tables_number 193
_symmetry_space_group_name_Hall '-P 6c 2'
_cell_length_a 8.1910
_cell_length_b 8.1910
_cell_length_c 5.3219
_cell_angle_alpha 90.00
_cell_angle_beta 90.00
_cell_angle_gamma 120.00
loop_
_atom_site_label
_atom_site_type_symbol
_atom_site_fract_x
_atom_site_fract_y
_atom_site_fract_z
Zr1 Zr 0.0000 0.2459 0.2500
Zr2 Zr 0.3333 0.6667 0.0000
Pt1 Pt 0.0000 0.3976 0.7500
# Polymorph energy (0 for the lowest one) (eV/f.u.): 0.00
# Final energy (eV/atom): -46.593
# Energy of formation (meV per atom): -1084.2

# 4
# SCAN Zr5Pt, single point on PBEsol structure
data_Zr5Pt
_chemical_formula_sum 'Zr5 Pt1'
_symmetry_space_group_name_H-M 'P 6/m m m'
_symmetry_Int_Tables_number 191
_symmetry_space_group_name_Hall '-P 6 2'
_cell_length_a 5.4909
_cell_length_b 5.4909
_cell_length_c 5.0378
_cell_angle_alpha 90.00
_cell_angle_beta 90.00
_cell_angle_gamma 120.00
loop_
_atom_site_label
_atom_site_type_symbol
_atom_site_fract_x
_atom_site_fract_y
_atom_site_fract_z
Zr1 Zr 0.0000 0.5000 0.0000
Zr2 Zr 0.3333 0.6667 0.5000
Pt1 Pt 0.0000 0.0000 0.5000
# Polymorph energy (0 for the lowest one) (eV/f.u.): 5.92
# Final energy (eV/atom): -36.703
# Energy of formation (meV per atom): 578.6

# 5
# SCAN ZrPt2, single point on PBEsol structure
data_ZrPt2
_chemical_formula_sum 'Zr1 Pt2'
_symmetry_space_group_name_H-M 'P 6/m m m'
_symmetry_Int_Tables_number 191
_symmetry_space_group_name_Hall '-P 6 2'
_cell_length_a 4.5727
_cell_length_b 4.5727
_cell_length_c 2.7931
_cell_angle_alpha 90.00
_cell_angle_beta 90.00
_cell_angle_gamma 120.00
loop_
_atom_site_label
_atom_site_type_symbol
_atom_site_fract_x
_atom_site_fract_y
_atom_site_fract_z
Zr1 Zr 0.0000 0.0000 0.0000
Pt1 Pt 0.3333 0.6667 0.5000
# Final energy (eV/atom): -57.938
# Energy of formation (meV per atom): -910.2

# 6
# SCAN ZrPt2, single point on PBEsol structure
data_ZrPt2
_chemical_formula_sum 'Zr4 Pt8'
_symmetry_space_group_name_H-M 'C 1 2/m 1'
_symmetry_Int_Tables_number 12
_cell_length_a 9.027
_cell_length_b 4.095
_cell_length_c 5.652
_cell_angle_alpha 90.00
_cell_angle_beta 106.38
_cell_angle_gamma 90.00
loop_
_symmetry_equiv_pos_as_xyz
'x,y,z'
'-x,-y,-z'
'-x,y,-z'
'x,-y,z'
'x+1/2,y+1/2,z'
'-x+1/2,-y+1/2,-z'
'-x+1/2,y+1/2,-z'
'x+1/2,-y+1/2,z'
loop_
_atom_site_label
_atom_site_type_symbol
_atom_site_fract_x
_atom_site_fract_y
_atom_site_fract_z
Zr1 Zr 0.148 0.000 0.301
Pt1 Pt 0.000 0.500 0.000
Pt2 Pt 0.000 0.500 0.500
Pt3 Pt 0.172 0.000 0.812
# Final energy (eV/atom): -58.195
# Energy of formation (meV per atom): -1166.3

# 7
# SCAN Zr5Pt, single point on PBEsol structure
data_Zr5Pt
_chemical_formula_sum 'Zr5 Pt1'
_symmetry_space_group_name_H-M 'P 4/m m m'
_symmetry_Int_Tables_number 123
_symmetry_space_group_name_Hall '-P 4 2'
_cell_length_a 3.301
_cell_length_b 3.301
_cell_length_c 11.423
_cell_angle_alpha 90.00
_cell_angle_beta 90.00
_cell_angle_gamma 90.00
loop_
_atom_site_label
_atom_site_type_symbol
_atom_site_fract_x
_atom_site_fract_y
_atom_site_fract_z
Zr1 Zr 0.000 0.000 0.000
Zr2 Zr 0.000 0.000 0.357
Zr3 Zr 0.500 0.500 0.181
Pt1 Pt 0.500 0.500 0.500
# Polymorph energy (0 for the lowest one) (eV/f.u.): 0.00
# Final energy (eV/atom): -37.689
# Energy of formation (meV per atom): -408.0

# 8
# SCAN Zr9Pt11, single point on PBEsol structure
data_Zr9Pt11
_chemical_formula_sum 'Zr18 Pt22'
_symmetry_space_group_name_H-M 'I 4/m'
_symmetry_Int_Tables_number 87
_symmetry_space_group_name_Hall '-I 4'
_cell_length_a 10.336
_cell_length_b 10.336
_cell_length_c 6.757
_cell_angle_alpha 90.00
_cell_angle_beta 90.00
_cell_angle_gamma 90.00
loop_
_atom_site_label
_atom_site_type_symbol
_atom_site_fract_x
_atom_site_fract_y
_atom_site_fract_z
Zr1 Zr 0.000 0.000 0.000
Zr2 Zr 0.081 0.253 0.500
Zr3 Zr 0.095 0.307 0.000
Pt1 Pt 0.000 0.000 0.500
Pt2 Pt 0.000 0.500 0.250
Pt3 Pt 0.114 0.772 0.210
# Final energy (eV/atom): -53.674
# Energy of formation (meV per atom): -1253.8

# 9
# SCAN Zr4Pt, single point on PBEsol structure
data_Zr4Pt
_chemical_formula_sum 'Zr8 Pt2'
_symmetry_space_group_name_H-M 'I 4/m m m'
_symmetry_Int_Tables_number 139
_symmetry_space_group_name_Hall '-I 4 2'
_cell_length_a 3.726
_cell_length_b 3.726
_cell_length_c 15.743
_cell_angle_alpha 90.00
_cell_angle_beta 90.00
_cell_angle_gamma 90.00
loop_
_atom_site_label
_atom_site_type_symbol
_atom_site_fract_x
_atom_site_fract_y
_atom_site_fract_z
Zr1 Zr 0.000 0.000 0.084
Zr2 Zr 0.000 0.500 0.250
Pt1 Pt 0.000 0.000 0.500
# Polymorph energy (0 for the lowest one) (eV/f.u.): 4.00
# Final energy (eV/atom): -38.312
# Energy of formation (meV per atom): 285.6

# 10
# SCAN Zr3Pt4, single point on PBEsol structure
data_Zr3Pt4
_chemical_formula_sum 'Zr18 Pt24'
_symmetry_space_group_name_H-M 'R -3'
_symmetry_Int_Tables_number 148
_symmetry_space_group_name_Hall '-R 3'
_cell_length_a 12.5031
_cell_length_b 12.5031
_cell_length_c 5.5055
_cell_angle_alpha 90.00
_cell_angle_beta 90.00
_cell_angle_gamma 120.00
loop_
_atom_site_label
_atom_site_type_symbol
_atom_site_fract_x
_atom_site_fract_y
_atom_site_fract_z
Zr1 Zr 0.0438 0.2161 0.2271
Pt1 Pt 0.0000 0.0000 0.0000
Pt2 Pt 0.0000 0.0000 0.5000
Pt3 Pt 0.0541 0.2699 0.7109
# Final energy (eV/atom): -54.578
# Energy of formation (meV per atom): -1311.4

# 11
# SCAN Zr4Pt, single point on PBEsol structure
data_Zr4Pt
_chemical_formula_sum 'Zr8 Pt2'
_symmetry_space_group_name_H-M 'I 4/m'
_symmetry_Int_Tables_number 87
_symmetry_space_group_name_Hall '-I 4'
_cell_length_a 7.705
_cell_length_b 7.705
_cell_length_c 3.404
_cell_angle_alpha 90.00
_cell_angle_beta 90.00
_cell_angle_gamma 90.00
loop_
_atom_site_label
_atom_site_type_symbol
_atom_site_fract_x
_atom_site_fract_y
_atom_site_fract_z
Zr1 Zr 0.090 0.714 0.000
Pt1 Pt 0.000 0.000 0.500
# Polymorph energy (0 for the lowest one) (eV/f.u.): 0.00
# Final energy (eV/atom): -39.112
# Energy of formation (meV per atom): -514.6

# 12
# SCAN ZrPt4, single point on PBEsol structure
data_ZrPt4
_chemical_formula_sum 'Zr2 Pt8'
_symmetry_space_group_name_H-M 'I 4/m'
_symmetry_Int_Tables_number 87
_symmetry_space_group_name_Hall '-I 4'
_cell_length_a 6.315
_cell_length_b 6.315
_cell_length_c 3.991
_cell_angle_alpha 90.00
_cell_angle_beta 90.00
_cell_angle_gamma 90.00
loop_
_atom_site_label
_atom_site_type_symbol
_atom_site_fract_x
_atom_site_fract_y
_atom_site_fract_z
Zr1 Zr 0.000 0.000 0.000
Pt1 Pt 0.098 0.697 0.500
# Final energy (eV/atom): -63.092
# Energy of formation (meV per atom): -797.9

Question: What is the final energy in the ninth record?
Answer: -38.312 eV/atom

What did the fourth record say?
# SCAN Zr5Pt, single point on PBEsol structure
data_Zr5Pt
_chemical_formula_sum 'Zr5 Pt1'
_symmetry_space_group_name_H-M 'P 6/m m m'
_symmetry_Int_Tables_number 191
_symmetry_space_group_name_Hall '-P 6 2'
_cell_length_a 5.4909
_cell_length_b 5.4909
_cell_length_c 5.0378
_cell_angle_alpha 90.00
_cell_angle_beta 90.00
_cell_angle_gamma 120.00
loop_
_atom_site_label
_atom_site_type_symbol
_atom_site_fract_x
_atom_site_fract_y
_atom_site_fract_z
Zr1 Zr 0.0000 0.5000 0.0000
Zr2 Zr 0.3333 0.6667 0.5000
Pt1 Pt 0.0000 0.0000 0.5000
# Polymorph energy (0 for the lowest one) (eV/f.u.): 5.92
# Final energy (eV/atom): -36.703
# Energy of formation (meV per atom): 578.6